This record from Alexandria describes KCrPF2 after structural relaxation. The functional is GGA+U.

Output
energy above the most stable polymorph in this dataset	765	meV per atom
volume	23.19	Å³/atom
VASP energy	-3.82	eV per atom
DOS(E_F)	0.0040	states/eV/atom

Cell and atoms, written as POSCAR:
```
KCrPF2
1.0
4.2924 0.0000 0.0000
0.0000 4.2924 0.0000
0.0000 0.0000 6.2942
K Cr P F
1 1 1 2
Cartesian
0.0000 0.0000 0.0000
2.1462 2.1462 0.0000
0.0000 0.0000 3.1471
0.0000 2.1462 3.1471
2.1462 0.0000 3.1471
```